1.
{
  "formula": "NaLiDyIn",
  "functional": "PBE-GGA",
  "state": "relaxed",
  "cell": [[5.229, 0.000, 0.000], [2.615, 4.529, 0.000], [2.615, 1.510, 4.270]],
  "species": ["Na", "In", "Li", "Dy"],
  "frac_coords": [[0.250, 0.250, 0.250], [0.500, 0.500, 0.500], [0.000, 0.000, 0.000], [0.750, 0.750, 0.750]],
  "formation_energy_ev_per_atom": -0.089,
  "magmom_total_mub_per_cell": 0.00
}


2.
{
  "formula": "LiNdDyIn",
  "functional": "PBE-GGA",
  "state": "relaxed",
  "cell": [[-1.972, -1.167, -4.845], [2.970, -2.754, -3.510], [-1.294, -5.056, -1.220]],
  "species": ["In", "Nd", "Li", "Dy"],
  "frac_coords": [[0.500, 0.500, 0.500], [0.250, 0.250, 0.250], [0.000, 0.000, 0.000], [0.750, 0.750, 0.750]],
  "formation_energy_ev_per_atom": -0.262,
  "magmom_total_mub_per_cell": 0.00
}


3.
{
  "formula": "Li2NdDy2In2",
  "functional": "PBE-GGA",
  "state": "relaxed",
  "cell": [[4.908, 0.000, 0.000], [2.454, 4.251, 0.000], [2.454, 1.417, 8.847]],
  "species": ["Li", "Li", "Nd", "Dy", "Dy", "In", "In"],
  "frac_coords": [[0.598, 0.598, 0.207], [0.402, 0.402, 0.793], [0.000, 0.000, 0.000], [0.129, 0.129, 0.614], [0.871, 0.871, 0.386], [0.740, 0.740, 0.779], [0.260, 0.260, 0.221]],
  "formation_energy_ev_per_atom": -0.235,
  "magmom_total_mub_per_cell": 0.00
}


4.
{
  "formula": "LiDyInNi",
  "functional": "PBE-GGA",
  "state": "relaxed",
  "cell": [[4.690, 0.000, 0.000], [2.345, 4.062, 0.000], [2.345, 1.354, 3.829]],
  "species": ["Ni", "In", "Li", "Dy"],
  "frac_coords": [[0.250, 0.250, 0.250], [0.500, 0.500, 0.500], [0.750, 0.750, 0.750], [0.000, 0.000, 0.000]],
  "formation_energy_ev_per_atom": -0.360,
  "magmom_total_mub_per_cell": 0.00
}


5.
{
  "formula": "LiDy2InO5",
  "functional": "PBE-GGA",
  "state": "relaxed",
  "cell": [[3.293, 0.000, 0.000], [-1.646, 6.627, 0.000], [0.000, 0.000, 9.725]],
  "species": ["Li", "Li", "Dy", "Dy", "Dy", "Dy", "In", "In", "O", "O", "O", "O", "O", "O", "O", "O", "O", "O"],
  "frac_coords": [[0.515, 0.029, 0.982], [0.485, 0.971, 0.482], [0.877, 0.754, 0.794], [0.109, 0.218, 0.685], [0.123, 0.246, 0.294], [0.891, 0.782, 0.185], [0.802, 0.604, 0.500], [0.198, 0.396, 0.000], [0.363, 0.725, 0.004], [0.698, 0.397, 0.848], [0.501, 0.002, 0.784], [0.289, 0.577, 0.662], [0.955, 0.910, 0.566], [0.637, 0.275, 0.504], [0.302, 0.603, 0.348], [0.499, 0.998, 0.284], [0.711, 0.423, 0.162], [0.045, 0.090, 0.066]],
  "magmom_total_mub_per_cell": 0.00,
  "dft_energy_ev_per_cell": -124.520
}


6.
{
  "formula": "LiDyInOs",
  "functional": "PBE-GGA",
  "state": "relaxed",
  "cell": [[4.761, 0.000, 0.000], [2.381, 4.123, 0.000], [2.381, 1.374, 3.887]],
  "species": ["In", "Os", "Li", "Dy"],
  "frac_coords": [[0.750, 0.750, 0.750], [0.000, 0.000, 0.000], [0.500, 0.500, 0.500], [0.250, 0.250, 0.250]],
  "formation_energy_ev_per_atom": -0.125,
  "magmom_total_mub_per_cell": 0.00
}


7.
{
  "formula": "LiDyIn4Pd2",
  "functional": "PBE-GGA",
  "state": "relaxed",
  "cell": [[-0.566, -3.257, -3.252], [2.946, -3.573, -0.240], [-4.319, -6.860, 4.316]],
  "species": ["Li", "Dy", "In", "In", "In", "In", "Pd", "Pd"],
  "frac_coords": [[0.500, 0.500, 0.500], [0.000, 0.000, 0.000], [0.393, 0.393, 0.822], [0.871, 0.871, 0.387], [0.129, 0.129, 0.613], [0.607, 0.607, 0.178], [0.761, 0.761, 0.716], [0.239, 0.239, 0.284]],
  "formation_energy_ev_per_atom": -0.466,
  "magmom_total_mub_per_cell": 0.00
}


8.
{
  "formula": "LiDyIn2Pd4",
  "functional": "PBE-GGA",
  "state": "relaxed",
  "cell": [[-3.692, -0.557, 2.777], [-2.711, -3.754, -0.459], [2.226, -5.203, 5.814]],
  "species": ["Li", "Dy", "In", "In", "Pd", "Pd", "Pd", "Pd"],
  "frac_coords": [[0.500, 0.500, 0.500], [0.000, 0.000, 0.000], [0.755, 0.755, 0.736], [0.245, 0.245, 0.264], [0.384, 0.384, 0.849], [0.875, 0.875, 0.374], [0.125, 0.125, 0.626], [0.616, 0.616, 0.151]],
  "formation_energy_ev_per_atom": -0.686,
  "magmom_total_mub_per_cell": 0.00
}